Crystalline CeLuFeNi at its relaxed geometry, computed with PBE.

Unit cell a=4.715 b=4.715 c=4.715 alpha=60.00 beta=60.00 gamma=60.00
Sites, in units of the cell vectors:
Ce1 0.000 0.000 0.000
Lu1 0.500 0.500 0.500
Fe1 0.250 0.250 0.250
Ni1 0.750 0.750 0.750

## Properties
energy of formation from the pure elements = -0.51 eV/f.u.
DFT total energy = -25.21 eV per cell
space group = F-43m, No. 216


Crystalline TiGeAs2Br at its relaxed geometry, computed with PBE.

Unit cell a=4.920 b=4.920 c=5.175 alpha=90.00 beta=90.00 gamma=90.00
Sites, in units of the cell vectors:
Ti1 0.000 0.000 0.000
Ge1 0.500 0.500 0.500
As1 0.000 0.500 0.500
As2 0.500 0.000 0.500
Br1 0.500 0.500 0.000

## Properties
energy relative to the lowest polymorph listed for this composition = 499.6 meV per atom
ΔE_f (raw) = 644 meV per atom
DFT total energy = -20.26 eV per cell
space group = P4/mmm, No. 123


Crystalline Ta2InRe at its relaxed geometry, computed with PBE.

Unit cell a=4.834 b=4.834 c=3.173 alpha=90.00 beta=90.00 gamma=105.90
Sites, in units of the cell vectors:
Ta1 0.000 0.500 0.000
Ta2 0.500 0.000 0.000
In1 0.000 0.000 0.500
Re1 0.500 0.500 0.500

## Properties
energy of formation from the pure elements = 0.58 eV/f.u.
DFT total energy = -38.31 eV per cell
space group = Cmmm, No. 65


Crystalline Sc3BiCl at its relaxed geometry, computed with PBE.

Unit cell a=4.847 b=4.847 c=4.847 alpha=90.00 beta=90.00 gamma=90.00
Sites, in units of the cell vectors:
Sc1 0.000 0.000 0.500
Sc2 0.000 0.500 0.000
Sc3 0.500 0.000 0.000
Bi1 0.500 0.500 0.500
Cl1 0.000 0.000 0.000

## Properties
energy relative to the lowest polymorph listed for this composition = 0.0 meV per atom
ΔE_f (raw) = -466 meV per atom
DFT total energy = -27.05 eV per cell
space group = Pm-3m, No. 221


Crystalline Ta3VW6 at its relaxed geometry, computed with PBE.

Unit cell a=7.855 b=4.524 c=9.593 alpha=90.00 beta=105.53 gamma=90.00
Sites, in units of the cell vectors:
Ta1 0.052 0.250 0.401
Ta2 0.152 0.750 0.202
Ta3 0.251 0.250 0.001
Ta4 0.749 0.750 0.999
Ta5 0.848 0.250 0.798
Ta6 0.948 0.750 0.599
V1 0.451 0.250 0.598
V2 0.549 0.750 0.402
W1 0.053 0.750 0.899
W2 0.156 0.250 0.699
W3 0.259 0.750 0.502
W4 0.351 0.750 0.798
W5 0.358 0.250 0.306
W6 0.453 0.750 0.103
W7 0.547 0.250 0.897
W8 0.642 0.750 0.694
W9 0.649 0.250 0.202
W10 0.741 0.250 0.498
W11 0.844 0.750 0.301
W12 0.947 0.250 0.101

## Properties
energy of formation from the pure elements = -0.92 eV/f.u.
DFT total energy = -246.64 eV per cell
space group = P2_1/m, No. 11


Q: Number 3 is which compound?
A: Ta2InRe


Repeat the fifth record exactly.
Crystalline Ta3VW6 at its relaxed geometry, computed with PBE.

Unit cell a=7.855 b=4.524 c=9.593 alpha=90.00 beta=105.53 gamma=90.00
Sites, in units of the cell vectors:
Ta1 0.052 0.250 0.401
Ta2 0.152 0.750 0.202
Ta3 0.251 0.250 0.001
Ta4 0.749 0.750 0.999
Ta5 0.848 0.250 0.798
Ta6 0.948 0.750 0.599
V1 0.451 0.250 0.598
V2 0.549 0.750 0.402
W1 0.053 0.750 0.899
W2 0.156 0.250 0.699
W3 0.259 0.750 0.502
W4 0.351 0.750 0.798
W5 0.358 0.250 0.306
W6 0.453 0.750 0.103
W7 0.547 0.250 0.897
W8 0.642 0.750 0.694
W9 0.649 0.250 0.202
W10 0.741 0.250 0.498
W11 0.844 0.750 0.301
W12 0.947 0.250 0.101

## Properties
energy of formation from the pure elements = -0.92 eV/f.u.
DFT total energy = -246.64 eV per cell
space group = P2_1/m, No. 11


Q: DFT total energy of number 2 (TiGeAs2Br)?
A: -20.26 eV per cell


Q: The lowest DFT total energy belongs to which entry?
A: Ta3VW6